Below is a relaxed Ac6Ir2Au3Se crystal, with properties calculated at the PBE level.

Unit cell a=7.7737 b=13.4173 c=7.7873 alpha=90.00 beta=109.14 gamma=90.00
Space group C2/m (No. 12)
Symmetry-distinct sites (fractional):
Ac: 0.2218 0.0000 0.2239 x4
Ac: 0.2452 0.1769 0.7677 x8
Ir: 0.0000 0.1675 0.0000 x4
Au: 0.0000 0.0000 0.5000 x2
Au: 0.0000 0.3440 0.5000 x4
Se: 0.0000 0.5000 0.0000 x2

Results
raw total energy: -134.27 eV for the cell shown
DOS(E_F): 0.53 states/eV per atom